Record 1
A plane-wave DFT calculation with PBEsol was carried out for an optimized crystal structure of SmCdAu2.

abc: 4.8968 4.8968 4.8968
angles: 60.00 60.00 60.00
With the nearest neighbours (Å) after each atom.
Element x y z (fractional)
1 Sm 0.0000 0.0000 0.0000  8 Au 3.00
2 Cd 0.5000 0.5000 0.5000  8 Au 3.00
3 Au 0.7500 0.7500 0.7500  4 Cd 3.00, 4 Sm 3.00
4 Au 0.2500 0.2500 0.2500  4 Cd 3.00, 4 Sm 3.00

Properties
Formation energy from the elements (eV per atom): -0.65
N(E_F) (states/eV/f.u.): 2.37
V (Å³ per cell): 83.0


Record 2
A plane-wave DFT calculation with PBEsol was carried out for an optimized crystal structure of Cd2SnAu2.

abc: 3.0452 8.1539 8.1539
angles: 90.00 90.00 90.00
With the nearest neighbours (Å) after each atom.
Element x y z (fractional)
1 Cd 0.5000 0.3682 0.1318  6 Au 2.78-2.88, 3 Cd 3.04-3.05
2 Au 0.0000 0.1662 0.3338  6 Cd 2.78-2.88, 2 Sn 3.04, 2 Au 3.05
3 Cd 0.5000 0.1318 0.6318  6 Au 2.78-2.88, 3 Cd 3.04-3.05
4 Au 0.0000 0.6662 0.1662  6 Cd 2.78-2.88, 2 Sn 3.04, 2 Au 3.05
5 Au 0.0000 0.8338 0.6662  6 Cd 2.78-2.88, 2 Sn 3.04, 2 Au 3.05
6 Sn 0.0000 0.5000 0.5000  4 Au 3.04, 2 Sn 3.05
7 Cd 0.5000 0.6318 0.8682  6 Au 2.78-2.88, 3 Cd 3.04-3.05
8 Au 0.0000 0.3338 0.8338  6 Cd 2.78-2.88, 2 Sn 3.04, 2 Au 3.05
9 Cd 0.5000 0.8682 0.3682  6 Au 2.78-2.88, 3 Cd 3.04-3.05
10 Sn 0.0000 0.0000 0.0000  4 Au 3.04, 2 Sn 3.05

Properties
Formation energy from the elements (eV per atom): -0.13
N(E_F) (states/eV/f.u.): 1.76
V (Å³ per cell): 202.5


Record 3
A plane-wave DFT calculation with PBEsol was carried out for an optimized crystal structure of SrCdAu.

abc: 3.9767 4.7838 4.7838
angles: 120.00 90.00 90.00
With the nearest neighbours (Å) after each atom.
Element x y z (fractional)
1 Sr 0.5000 0.6667 0.3333  6 Au 3.40, 6 Cd 3.40
2 Cd 0.0000 0.3333 0.6667  3 Au 2.76
3 Au 0.0000 0.0000 0.0000  3 Cd 2.76

Properties
Formation energy from the elements (eV per atom): -0.53
N(E_F) (states/eV/f.u.): 1.68
V (Å³ per cell): 78.8


Record 4
A plane-wave DFT calculation with PBEsol was carried out for an optimized crystal structure of SrCdAu.

abc: 4.4634 7.5916 8.8738
angles: 90.00 90.00 90.00
With the nearest neighbours (Å) after each atom.
Element x y z (fractional)
1 Sr 0.2500 0.5392 0.1826  5 Au 3.19-3.23, 5 Cd 3.45-3.47
2 Sr 0.2500 0.0392 0.3174  5 Au 3.19-3.23, 5 Cd 3.45-3.47
3 Sr 0.7500 0.4608 0.8174  5 Au 3.19-3.23, 5 Cd 3.45-3.47
4 Cd 0.7500 0.8591 0.0618  4 Au 2.88-2.94
5 Cd 0.7500 0.3591 0.4382  4 Au 2.88-2.94
6 Au 0.7500 0.2396 0.1259  4 Cd 2.88-2.94, 5 Sr 3.19-3.23
7 Au 0.2500 0.7604 0.8741  4 Cd 2.88-2.94, 5 Sr 3.19-3.23
8 Au 0.2500 0.2604 0.6259  4 Cd 2.88-2.94, 5 Sr 3.19-3.23
9 Cd 0.2500 0.1409 0.9382  4 Au 2.88-2.94
10 Au 0.7500 0.7396 0.3741  4 Cd 2.88-2.94, 5 Sr 3.19-3.23
11 Sr 0.7500 0.9608 0.6826  5 Au 3.19-3.23, 5 Cd 3.45-3.47
12 Cd 0.2500 0.6409 0.5618  4 Au 2.88-2.94

Properties
Formation energy from the elements (eV per atom): -0.59
N(E_F) (states/eV/f.u.): 1.84
V (Å³ per cell): 300.7


Record 5
A plane-wave DFT calculation with PBEsol was carried out for an optimized crystal structure of Sr2CdAu3.

abc: 4.7559 5.9784 6.1214
angles: 76.71 67.19 66.57
With the nearest neighbours (Å) after each atom.
Element x y z (fractional)
1 Au 0.8408 0.7147 0.6037  1 Cd 2.79, 3 Au 2.80-3.00
2 Sr 0.4515 0.2993 0.7978  9 Au 3.23-3.55, 3 Cd 3.28-3.39
3 Cd 0.1645 0.2698 0.4014  4 Au 2.77-2.90
4 Au 0.1606 0.8884 0.7908  3 Au 2.78-2.80, 1 Cd 2.90
5 Sr 0.5471 0.7083 0.1976  9 Au 3.22-3.57, 3 Cd 3.38-3.50
6 Au 0.8357 0.1195 0.2087  2 Cd 2.77, 2 Au 2.78-3.00

Properties
Formation energy from the elements (eV per atom): -0.62
N(E_F) (states/eV/f.u.): 2.48
V (Å³ per cell): 146.6


Record 6
A plane-wave DFT calculation with PBEsol was carried out for an optimized crystal structure of SrCdAu.

abc: 3.7390 3.7390 5.9225
angles: 108.40 108.40 90.00
With the nearest neighbours (Å) after each atom.
Element x y z (fractional)
1 Sr 0.6603 0.6603 0.3206  5 Cd 3.18-3.39, 5 Au 3.26-3.38
2 Au 0.9796 0.9796 0.9592  4 Cd 2.93, 4 Sr 3.26
3 Cd 0.3601 0.3601 0.7203  4 Au 2.93, 1 Sr 3.18

Properties
Formation energy from the elements (eV per atom): -0.44
N(E_F) (states/eV/f.u.): 1.19
V (Å³ per cell): 74.1


Record 7
A plane-wave DFT calculation with PBEsol was carried out for an optimized crystal structure of Sr2CdAu.

abc: 3.8029 3.8029 8.5323
angles: 90.00 90.00 90.00
With the nearest neighbours (Å) after each atom.
Element x y z (fractional)
1 Sr 0.0000 0.0000 0.9301  1 Au 3.31, 4 Cd 3.34
2 Au 0.0000 0.0000 0.5419  4 Cd 3.00, 5 Sr 3.24-3.31
3 Cd 0.5000 0.5000 0.6985  4 Au 3.00, 5 Sr 3.15-3.34
4 Sr 0.5000 0.5000 0.3295  1 Cd 3.15, 4 Au 3.24

Properties
Formation energy from the elements (eV per atom): -0.35
N(E_F) (states/eV/f.u.): 2.23
V (Å³ per cell): 123.4


Record 8
A plane-wave DFT calculation with PBEsol was carried out for an optimized crystal structure of Sr2CdAu.

abc: 3.9132 5.4023 5.4011
angles: 90.00 90.00 90.00
With the nearest neighbours (Å) after each atom.
Element x y z (fractional)
1 Sr 0.0000 0.0000 0.1253  4 Au 3.33-3.34, 4 Cd 3.34
2 Au 0.5000 0.0000 0.6252  8 Sr 3.33-3.34
3 Sr 0.0000 0.5000 0.6248  4 Cd 3.33-3.34, 4 Au 3.34
4 Cd 0.5000 0.5000 0.1247  8 Sr 3.33-3.34

Properties
Formation energy from the elements (eV per atom): -0.46
N(E_F) (states/eV/f.u.): 2.88
V (Å³ per cell): 114.2


- Look up the N(E_F) of the eighth one.
  2.88 states/eV/f.u.